Entry 1:
First-principles (PBE-GGA) data for a geometry-optimized HoThAu structure, as listed in Alexandria via LeMat-Bulk.

Values from the calculation:
Energy relative to the lowest polymorph listed for this composition ... 0.03 eV per formula unit
Energy ... -5.528 eV/atom
Formation enthalpy at 0 K ... -0.4359 eV/atom

abc: 4.6633 7.7986 13.5844
angles: 89.85 90.00 90.00
With the nearest neighbours (Å) after each atom.
Sites, in units of the cell vectors:
Th 0.7500 0.5310 0.3925  5 Au 3.22-3.36, 3 Ho 3.53-3.57
Th 0.2500 0.0044 0.7199  3 Au 3.08-3.21
Th 0.7500 0.9956 0.2801  3 Au 3.08-3.21
Th 0.7500 0.6160 0.0772  1 Au 3.02
Th 0.2500 0.4690 0.6075  5 Au 3.22-3.36, 3 Ho 3.53-3.57
Th 0.2500 0.3840 0.9228  1 Au 3.02
Au 0.2500 0.7698 0.9029  5 Ho 2.89-3.15, 2 Th 3.02-3.08
Au 0.7500 0.2828 0.7489  3 Ho 2.92-3.04, 2 Th 3.21
Au 0.7500 0.7762 0.5832  4 Ho 2.88-2.98, 1 Th 3.22
Au 0.7500 0.2302 0.0971  5 Ho 2.89-3.15, 2 Th 3.02-3.08
Au 0.2500 0.2238 0.4168  4 Ho 2.88-2.98, 1 Th 3.22
Au 0.2500 0.7172 0.2511  3 Ho 2.92-3.04, 2 Th 3.21
Ho 0.2500 0.9595 0.0852  4 Au 2.89-3.15
Ho 0.2500 0.8497 0.4610  4 Au 2.92-3.04
Ho 0.7500 0.6522 0.7830  4 Au 2.88-2.99
Ho 0.7500 0.1503 0.5390  4 Au 2.92-3.04
Ho 0.2500 0.3478 0.2170  4 Au 2.88-2.99
Ho 0.7500 0.0405 0.9148  4 Au 2.89-3.15

=====

Entry 2:
First-principles (PBE-GGA) data for a geometry-optimized HoThAu structure, as listed in Alexandria via LeMat-Bulk.

Values from the calculation:
Energy relative to the lowest polymorph listed for this composition ... 0.63 eV per formula unit
Energy ... -5.328 eV/atom
Formation enthalpy at 0 K ... -0.2360 eV/atom

abc: 3.8924 4.9687 4.9687
angles: 120.00 90.00 90.00
With the nearest neighbours (Å) after each atom.
Sites, in units of the cell vectors:
Au 0.4269 0.3333 0.6667  3 Ho 2.91
Ho 0.5451 0.6667 0.3333  3 Au 2.91
Th 0.0280 0.0000 0.0000  3 Au 3.26, 6 Ho 3.43-3.50

=====

Entry 3:
First-principles (PBE-GGA) data for a geometry-optimized HoThAu2 structure, as listed in Alexandria via LeMat-Bulk.

Values from the calculation:
Energy relative to the lowest polymorph listed for this composition ... 0.00 eV per formula unit
Energy ... -5.385 eV/atom
Formation enthalpy at 0 K ... -0.7467 eV/atom

abc: 3.8837 4.6692 5.9181
angles: 90.00 109.23 90.00
With the nearest neighbours (Å) after each atom.
Sites, in units of the cell vectors:
Ho 0.7202 0.0000 0.9801  7 Au 3.03-3.21
Th 0.4460 0.5000 0.4305  7 Au 3.05-3.20
Au 0.1723 0.5000 0.8844  3 Th 3.05-3.20, 4 Ho 3.08, 2 Au 3.09
Au 0.9924 0.0000 0.5229  3 Ho 3.03-3.21, 4 Th 3.08, 2 Au 3.09

=====

Entry 4:
First-principles (PBE-GGA) data for a geometry-optimized HoThAu structure, as listed in Alexandria via LeMat-Bulk.

Values from the calculation:
Energy relative to the lowest polymorph listed for this composition ... 0.00 eV per formula unit
Energy ... -5.539 eV/atom
Formation enthalpy at 0 K ... -0.4473 eV/atom

abc: 3.5905 3.5905 6.7976
angles: 105.31 105.31 90.00
With the nearest neighbours (Å) after each atom.
Sites, in units of the cell vectors:
Au 0.6774 0.6774 0.3549  4 Ho 3.05, 4 Th 3.30
Ho 0.3119 0.3119 0.6239  4 Au 3.05
Th 0.0106 0.0106 0.0213  4 Au 3.30, 4 Ho 3.57, 4 Th 3.59